(i)
# SmMgSnPb

Crystalline SmMgSnPb at its relaxed geometry (PBE, Alexandria via LeMat-Bulk).

The calculation puts the magnetic moment at 0.000 μB/cell. Its density is 7.6 g/cm3.

It has space group F-43m (No. 216), with a = 7.591 Å, b = 7.591 Å, c = 7.591 Å, α = 90.00°, β = 90.00° and γ = 90.00°. The inequivalent atoms are Sm at (0.000, 0.000, 0.000), Mg at (0.000, 0.000, 0.500), Sn at (0.250, 0.250, 0.750) and Pb at (0.250, 0.250, 0.250).

---

(ii)
# SmMgSnPb

Crystalline SmMgSnPb at its relaxed geometry (PBE, Alexandria via LeMat-Bulk).

The calculation puts the magnetic moment at 0.000 μB/cell. Its density is 7.9 g/cm3.

It has space group Pmmm (No. 47), with a = 4.510 Å, b = 4.825 Å, c = 4.853 Å, α = 90.00°, β = 90.00° and γ = 90.00°. The inequivalent atoms are Sm at (0.000, 0.000, 0.000), Mg at (0.000, 0.500, 0.500), Sn at (0.500, 0.500, 0.000) and Pb at (0.500, 0.000, 0.500).

---

The winner here is (ii), beating the second structure by 169 meV per atom.